Entry 1:
Density functional theory data (GGA-PBE) for UMnAl4 after structural relaxation.

The structure in POSCAR format:
```
UMnAl4
1.0
7.176 -3.205 0.000
7.176 3.205 0.000
-1.740 0.000 4.695
U Mn Al
2 2 8
Direct
0.211 0.211 0.206
0.789 0.789 0.794
0.498 0.498 0.265
0.502 0.502 0.735
0.111 0.674 0.396
0.188 0.812 0.000
0.326 0.889 0.604
0.339 0.339 0.834
0.661 0.661 0.166
0.674 0.111 0.396
0.812 0.188 0.000
0.889 0.326 0.604
```

The value obtained for the density of states at the Fermi level is 18.54 states/eV/cell. Its size of the total moment is 0.70 μB/atom. For the final energy, the calculation gives -5.8744 eV/atom. The calculation puts the formation energy at 0.03 eV per atom.

Entry 2:
Density functional theory data (GGA-PBE) for Li2BeRe after structural relaxation.

The structure in POSCAR format:
```
Li2BeRe
1.0
10.255 0.000 0.000
0.000 2.514 0.000
-1.734 0.000 3.850
Li Be Re
4 2 2
Direct
0.225 0.000 0.225
0.275 0.500 0.775
0.725 0.500 0.225
0.775 0.000 0.775
0.000 0.500 0.000
0.500 0.000 0.000
0.000 0.000 0.500
0.500 0.500 0.500
```

The value obtained for the density of states at the Fermi level is 6.48 states/eV/cell. Its size of the total moment is 0.00 μB/atom. For the final energy, the calculation gives -4.8062 eV/atom. The calculation puts the formation energy at 0.19 eV per atom.

Entry 3:
Density functional theory data (GGA-PBE) for CsAs2BrO after structural relaxation.

The structure in POSCAR format:
```
CsAs2BrO
1.0
6.031 0.000 0.000
0.000 6.031 0.000
0.000 0.000 6.182
Cs As Br O
1 2 1 1
Direct
0.000 0.000 0.000
0.000 0.500 0.000
0.500 0.000 0.000
0.000 0.000 0.500
0.500 0.500 0.500
```

Its energy above the most stable polymorph in this dataset is 1680.9 meV/atom. The value obtained for the density of states at the Fermi level is 6.66 states/eV/cell. Its size of the total moment is 1.17 μB/atom. For the final energy, the calculation gives -1.8299 eV/atom. The value obtained for the uncorrected formation energy is 1526.8 meV per atom.

Entry 4:
Density functional theory data (GGA-PBE) for SrCuBiS3 after structural relaxation.

The structure in POSCAR format:
```
SrCuBiS3
1.0
8.504 0.000 0.000
0.000 3.989 0.000
-1.870 0.000 8.504
Sr Cu Bi S
2 2 2 6
Direct
0.176 0.250 0.236
0.824 0.750 0.764
0.081 0.250 0.584
0.919 0.750 0.416
0.334 0.750 0.831
0.666 0.250 0.169
0.106 0.250 0.865
0.206 0.750 0.505
0.426 0.750 0.166
0.574 0.250 0.834
0.794 0.250 0.495
0.894 0.750 0.135
```

Its size of the total moment is 0.00 μB/atom. For the final energy, the calculation gives -4.5809 eV/atom. The value obtained for the uncorrected formation energy is -907.4 meV per atom.

Entry 5:
Density functional theory data (GGA-PBE) for ErSi2Rh3 after structural relaxation.

The structure in POSCAR format:
```
ErSi2Rh3
1.0
7.925 -1.977 0.000
7.925 1.977 0.000
-3.036 0.000 9.184
Er Si Rh
3 6 9
Direct
0.000 0.000 0.000
0.160 0.160 0.699
0.840 0.840 0.301
0.195 0.195 0.128
0.362 0.362 0.553
0.463 0.463 0.222
0.537 0.537 0.778
0.638 0.638 0.447
0.805 0.805 0.872
0.038 0.038 0.328
0.218 0.218 0.392
0.322 0.322 0.044
0.380 0.380 0.804
0.500 0.500 0.500
0.620 0.620 0.196
0.678 0.678 0.956
0.782 0.782 0.608
0.962 0.962 0.672
```

The value obtained for the density of states at the Fermi level is 7.78 states/eV/cell. Its size of the total moment is 0.00 μB/atom. For the final energy, the calculation gives -7.2415 eV/atom. The value obtained for the uncorrected formation energy is -997.7 meV per atom.

Entry 6:
Density functional theory data (GGA-PBE) for NdTmBr after structural relaxation.

The structure in POSCAR format:
```
NdTmBr
1.0
3.649 0.000 0.000
0.010 3.649 0.000
0.014 0.002 15.103
Nd Tm Br
2 2 2
Direct
0.248 0.250 0.254
0.752 0.750 0.746
0.251 0.250 0.921
0.749 0.750 0.079
0.252 0.250 0.627
0.748 0.750 0.373
```

Its energy above the most stable polymorph in this dataset is 0.0 meV/atom. The value obtained for the density of states at the Fermi level is 6.51 states/eV/cell. Its size of the total moment is 0.00 μB/atom. For the final energy, the calculation gives -4.3397 eV/atom. The value obtained for the uncorrected formation energy is -702.3 meV per atom.

Entry 7:
Density functional theory data (GGA-PBE) for Ce3Si2Ir3 after structural relaxation.

The structure in POSCAR format:
```
Ce3Si2Ir3
1.0
7.701 0.000 0.000
0.000 14.764 0.000
0.000 0.000 5.674
Ce Si Ir
12 8 12
Direct
0.027 0.108 0.139
0.027 0.392 0.139
0.167 0.250 0.603
0.333 0.750 0.103
0.473 0.608 0.639
0.473 0.892 0.639
0.527 0.108 0.361
0.527 0.392 0.361
0.667 0.250 0.897
0.833 0.750 0.397
0.973 0.608 0.861
0.973 0.892 0.861
0.126 0.601 0.362
0.126 0.899 0.362
0.374 0.101 0.862
0.374 0.399 0.862
0.626 0.601 0.138
0.626 0.899 0.138
0.874 0.101 0.638
0.874 0.399 0.638
0.165 0.039 0.594
0.165 0.461 0.594
0.187 0.750 0.581
0.313 0.250 0.081
0.335 0.539 0.094
0.335 0.961 0.094
0.665 0.039 0.906
0.665 0.461 0.906
0.687 0.750 0.919
0.813 0.250 0.419
0.835 0.539 0.406
0.835 0.961 0.406
```

The value obtained for the density of states at the Fermi level is 48.54 states/eV/cell. Its size of the total moment is 0.17 μB/atom. For the final energy, the calculation gives -7.8311 eV/atom. The value obtained for the uncorrected formation energy is -927.2 meV per atom.

Entry 8:
Density functional theory data (GGA-PBE) for TlCdGa2 after structural relaxation.

The structure in POSCAR format:
```
TlCdGa2
1.0
4.253 0.000 0.000
0.000 4.253 0.000
0.000 0.000 21.517
Tl Cd Ga
4 4 8
Direct
0.000 0.000 0.000
0.000 0.500 0.250
0.500 0.000 0.750
0.500 0.500 0.500
0.000 0.000 0.500
0.000 0.500 0.750
0.500 0.000 0.250
0.500 0.500 0.000
0.235 0.250 0.625
0.250 0.735 0.875
0.250 0.765 0.375
0.265 0.250 0.125
0.735 0.750 0.125
0.750 0.235 0.375
0.750 0.265 0.875
0.765 0.750 0.625
```

Its energy above the most stable polymorph in this dataset is 93.0 meV/atom. The value obtained for the density of states at the Fermi level is 9.60 states/eV/cell. Its size of the total moment is 0.00 μB/atom. For the final energy, the calculation gives -2.1818 eV/atom. The calculation puts the formation energy at 0.15 eV per atom.

Entry 9:
Density functional theory data (GGA-PBE) for HoBiTe after structural relaxation.

The structure in POSCAR format:
```
HoBiTe
1.0
3.928 0.000 0.000
0.000 3.928 0.000
0.000 0.000 11.411
Ho Bi Te
2 2 2
Direct
0.000 0.000 0.000
0.500 0.500 0.500
0.000 0.000 0.322
0.500 0.500 0.822
0.000 0.000 0.618
0.500 0.500 0.118
```

The value obtained for the density of states at the Fermi level is 4.70 states/eV/cell. Its size of the total moment is 0.00 μB/atom. For the final energy, the calculation gives -4.6007 eV/atom. The value obtained for the uncorrected formation energy is -733.9 meV per atom.

Entry 10:
Density functional theory data (GGA-PBE) for Li2BeMo after structural relaxation.

The structure in POSCAR format:
```
Li2BeMo
1.0
10.802 0.000 0.000
0.000 2.431 0.000
-1.844 0.000 4.077
Li Be Mo
4 2 2
Direct
0.218 0.000 0.218
0.282 0.500 0.782
0.718 0.500 0.218
0.782 0.000 0.782
0.000 0.500 0.000
0.500 0.000 0.000
0.000 0.000 0.500
0.500 0.500 0.500
```

Its energy above the most stable polymorph in this dataset is 86.0 meV/atom. The value obtained for the density of states at the Fermi level is 3.88 states/eV/cell. Its size of the total moment is 0.07 μB/atom. For the final energy, the calculation gives -4.3077 eV/atom. The calculation puts the formation energy at 0.29 eV per atom.

Entry 11:
Density functional theory data (GGA-PBE) for LaZrTlRh2 after structural relaxation.

The structure in POSCAR format:
```
LaZrTlRh2
1.0
5.002 0.000 0.000
0.000 5.002 0.000
0.000 0.000 5.584
La Zr Tl Rh
1 1 1 2
Direct
0.000 0.000 0.000
0.500 0.500 0.000
0.000 0.000 0.500
0.000 0.500 0.500
0.500 0.000 0.500
```

The value obtained for the density of states at the Fermi level is 6.92 states/eV/cell. Its size of the total moment is 0.41 μB/atom. For the final energy, the calculation gives -5.0332 eV/atom. The calculation puts the formation energy at 1.08 eV per atom.

Entry 12:
Density functional theory data (GGA-PBE) for KHf3Pb after structural relaxation.

The structure in POSCAR format:
```
KHf3Pb
1.0
5.530 0.000 0.000
0.000 5.530 0.000
0.000 0.000 5.530
K Hf Pb
1 3 1
Direct
0.000 0.000 0.000
0.000 0.500 0.500
0.500 0.000 0.500
0.500 0.500 0.000
0.500 0.500 0.500
```

Its energy above the most stable polymorph in this dataset is 0.0 meV/atom. The value obtained for the density of states at the Fermi level is 11.81 states/eV/cell. Its size of the total moment is 0.00 μB/atom. For the final energy, the calculation gives -5.4680 eV/atom. The calculation puts the formation energy at 1.47 eV per atom.

Entry 13:
Density functional theory data (GGA-PBE) for KBeSe2Br after structural relaxation.

The structure in POSCAR format:
```
KBeSe2Br
1.0
6.257 0.000 0.000
0.000 6.257 0.000
0.000 0.000 6.062
K Be Se Br
1 1 2 1
Direct
0.000 0.000 0.000
0.500 0.500 0.500
0.000 0.500 0.000
0.500 0.000 0.000
0.000 0.000 0.500
```

Its energy above the most stable polymorph in this dataset is 1534.1 meV/atom. The value obtained for the density of states at the Fermi level is 4.29 states/eV/cell. Its size of the total moment is 0.80 μB/atom. For the final energy, the calculation gives -1.6761 eV/atom. The value obtained for the uncorrected formation energy is 1017.0 meV per atom.

Entry 14:
Density functional theory data (GGA-PBE) for LuTi2N after structural relaxation.

The structure in POSCAR format:
```
LuTi2N
1.0
3.092 0.000 0.000
-1.546 2.677 0.000
0.000 0.000 23.274
Lu Ti N
3 6 3
Direct
0.000 0.000 0.000
0.333 0.667 0.667
0.667 0.333 0.333
0.000 0.000 0.215
0.000 0.000 0.785
0.333 0.667 0.451
0.333 0.667 0.882
0.667 0.333 0.118
0.667 0.333 0.549
0.000 0.000 0.500
0.333 0.667 0.167
0.667 0.333 0.833
```

The value obtained for the density of states at the Fermi level is 13.52 states/eV/cell. Its size of the total moment is 0.00 μB/atom. For the final energy, the calculation gives -7.9450 eV/atom. The value obtained for the uncorrected formation energy is -785.9 meV per atom.

Entry 15:
Density functional theory data (GGA-PBE) for SrZn3Pd after structural relaxation.

The structure in POSCAR format:
```
SrZn3Pd
1.0
4.880 0.000 0.000
0.000 4.880 0.000
0.000 0.000 4.880
Sr Zn Pd
1 3 1
Direct
0.000 0.000 0.000
0.000 0.500 0.500
0.500 0.000 0.500
0.500 0.500 0.000
0.500 0.500 0.500
```

Its energy above the most stable polymorph in this dataset is 110.2 meV/atom. The value obtained for the density of states at the Fermi level is 1.86 states/eV/cell. Its size of the total moment is 0.00 μB/atom. For the final energy, the calculation gives -2.4233 eV/atom. The calculation puts the formation energy at -0.28 eV per atom.

Entry 16:
Density functional theory data (GGA-PBE) for Pm4ThSe7 after structural relaxation.

The structure in POSCAR format:
```
Pm4ThSe7
1.0
6.899 -2.042 0.000
6.899 2.042 0.000
-3.131 0.000 12.076
Pm Th Se
4 1 7
Direct
0.000 0.000 0.000
0.185 0.185 0.762
0.588 0.588 0.397
0.885 0.885 0.579
0.771 0.771 0.155
0.144 0.144 0.230
0.227 0.227 0.528
0.386 0.386 0.078
0.545 0.545 0.628
0.630 0.630 0.928
0.844 0.844 0.795
0.926 0.926 0.361
```

The value obtained for the density of states at the Fermi level is 4.40 states/eV/cell. Its size of the total moment is 0.00 μB/atom. For the final energy, the calculation gives -6.0519 eV/atom. The value obtained for the uncorrected formation energy is -1817.4 meV per atom.

Entry 17:
Density functional theory data (GGA-PBE) for Li2HfZnH after structural relaxation.

The structure in POSCAR format:
```
Li2HfZnH
1.0
3.920 0.000 0.000
0.000 3.920 0.000
0.000 0.000 4.503
Li Hf Zn H
2 1 1 1
Direct
0.000 0.500 0.000
0.500 0.000 0.000
0.000 0.000 0.500
0.500 0.500 0.500
0.000 0.000 0.000
```

The value obtained for the density of states at the Fermi level is 4.47 states/eV/cell. Its size of the total moment is 0.00 μB/atom. For the final energy, the calculation gives -3.7421 eV/atom.

Entry 18:
Density functional theory data (GGA-PBE) for BeCrBr2 after structural relaxation.

The structure in POSCAR format:
```
BeCrBr2
1.0
3.751 0.000 0.000
0.000 3.751 0.000
0.000 0.000 13.612
Be Cr Br
2 2 4
Direct
0.000 0.000 0.000
0.500 0.500 0.500
0.000 0.500 0.250
0.500 0.000 0.750
0.000 0.000 0.500
0.000 0.500 0.750
0.500 0.000 0.250
0.500 0.500 0.000
```

Its energy above the most stable polymorph in this dataset is 503.1 meV/atom. The value obtained for the density of states at the Fermi level is 3.16 states/eV/cell. Its size of the total moment is 1.20 μB/atom. For the final energy, the calculation gives -3.7439 eV/atom. The value obtained for the uncorrected formation energy is 429.9 meV per atom.

Entry 19:
Density functional theory data (GGA-PBE) for Be2Pb after structural relaxation.

The structure in POSCAR format:
```
Be2Pb
1.0
6.277 0.000 0.000
0.000 3.580 0.000
-2.325 0.000 9.112
Be Pb
8 4
Direct
0.000 0.000 0.000
0.079 0.000 0.214
0.206 0.500 0.107
0.374 0.000 0.108
0.500 0.500 0.000
0.579 0.500 0.214
0.706 0.000 0.107
0.874 0.500 0.108
0.098 0.500 0.795
0.325 0.500 0.417
0.598 0.000 0.795
0.825 0.000 0.417
```

Its energy above the most stable polymorph in this dataset is 0.0 meV/atom. The value obtained for the density of states at the Fermi level is 4.14 states/eV/cell. Its size of the total moment is 0.00 μB/atom. For the final energy, the calculation gives -3.5185 eV/atom. The calculation puts the formation energy at 0.20 eV per atom.

Entry 20:
Density functional theory data (GGA-PBE) for NaUNb2O8 after structural relaxation.

The structure in POSCAR format:
```
NaUNb2O8
1.0
3.687 -3.446 0.000
3.687 3.446 0.000
-0.154 0.000 6.509
Na U Nb O
1 1 2 8
Direct
0.000 0.000 0.000
0.000 0.000 0.500
0.467 0.467 0.760
0.533 0.533 0.240
0.206 0.771 0.272
0.229 0.794 0.728
0.309 0.309 0.514
0.326 0.326 0.994
0.674 0.674 0.006
0.691 0.691 0.486
0.771 0.206 0.272
0.794 0.229 0.728
```

The value obtained for the density of states at the Fermi level is 1.87 states/eV/cell. Its size of the total moment is 0.09 μB/atom. For the final energy, the calculation gives -8.6772 eV/atom. The value obtained for the uncorrected formation energy is -2642.9 meV per atom.